# 1
DySc2C | PBE-GGA | relaxed

## Properties
Energy of formation = -202 meV per atom

Lattice parameters (Å, degrees): 3.3262 3.3262 9.3366 79.74 79.74 60.00
With the nearest neighbours (Å) after each atom.
Atoms (fractional coordinates):
1 Sc 0.8778 0.8778 0.3667  3 C 2.27
2 Sc 0.1222 0.1222 0.6333  3 C 2.27
3 C 0.5000 0.5000 0.5000  6 Sc 2.27
4 Dy 0.0000 0.0000 0.0000  6 Dy 3.33, 2 Sc 3.35

---

# 2
PmInHgGe | PBE-GGA | relaxed

## Properties
Energy of formation = -277 meV per atom

Lattice parameters (Å, degrees): 5.1837 5.1837 5.1837 60.00 60.00 60.00
With the nearest neighbours (Å) after each atom.
Atoms (fractional coordinates):
1 Hg 0.7500 0.7500 0.7500  4 In 3.17, 4 Pm 3.17
2 Ge 0.2500 0.2500 0.2500  4 Pm 3.17, 4 In 3.17
3 In 0.5000 0.5000 0.5000  4 Ge 3.17, 4 Hg 3.17
4 Pm 0.0000 0.0000 0.0000  4 Hg 3.17, 4 Ge 3.17

---

# 3
MnAg2Hg | PBE-GGA | relaxed

## Properties
Energy of formation = 194 meV per atom

Lattice parameters (Å, degrees): 5.1491 5.1491 5.1491 132.46 132.46 69.50
With the nearest neighbours (Å) after each atom.
Atoms (fractional coordinates):
1 Ag 0.5000 0.5000 0.0000  4 Ag 2.94, 4 Mn 2.96, 4 Hg 2.96
2 Mn 0.7500 0.2500 0.5000  4 Hg 2.94, 8 Ag 2.96
3 Ag 0.0000 0.0000 0.0000  4 Ag 2.94, 4 Hg 2.96, 4 Mn 2.96
4 Hg 0.2500 0.7500 0.5000  4 Mn 2.94, 8 Ag 2.96

---

# 4
Th3Mg2Zn6 | PBE-GGA | relaxed

## Properties
Energy of formation = -105 meV per atom

Lattice parameters (Å, degrees): 4.3097 4.3097 13.2997 99.32 99.32 90.00
With the nearest neighbours (Å) after each atom.
Atoms (fractional coordinates):
1 Th 0.2038 0.2038 0.4075  9 Zn 3.15-3.21
2 Zn 0.6731 0.6731 0.3462  4 Zn 2.67
3 Zn 0.8880 0.3880 0.7761  2 Mg 2.63, 2 Zn 2.67
4 Th 0.7962 0.7962 0.5925  9 Zn 3.15-3.21
5 Zn 0.3269 0.3269 0.6538  4 Zn 2.67
6 Zn 0.3880 0.8880 0.7761  2 Mg 2.63, 2 Zn 2.67
7 Zn 0.1120 0.6120 0.2239  2 Mg 2.63, 2 Zn 2.67
8 Mg 0.4466 0.4466 0.8932  4 Zn 2.63, 1 Mg 2.77
9 Th 0.0000 0.0000 0.0000  8 Mg 3.35, 8 Zn 3.61
10 Mg 0.5534 0.5534 0.1068  4 Zn 2.63, 1 Mg 2.77
11 Zn 0.6120 0.1120 0.2239  2 Mg 2.63, 2 Zn 2.67

---

# 5
Tl2GaSnS5 | PBE-GGA | relaxed

## Properties
ΔE_f (raw) = -0.404 eV/atom

Lattice parameters (Å, degrees): 3.7399 9.3531 12.8659 90.00 90.00 101.53
With the nearest neighbours (Å) after each atom.
Atoms (fractional coordinates):
1 Sn 0.7952 0.5904 0.5282  5 S 2.51-2.63
2 Tl 0.1096 0.2192 0.6700  6 S 3.15-3.35
3 Tl 0.8904 0.7808 0.1700  6 S 3.15-3.35
4 S 0.9510 0.9020 0.5410  2 Ga 2.33
5 S 0.4873 0.9746 0.7866  1 Ga 2.23
6 S 0.0490 0.0980 0.0410  2 Ga 2.33
7 S 0.6772 0.3544 0.8895  1 Ga 2.35, 2 Sn 2.63
8 S 0.6610 0.3220 0.4875  1 Sn 2.51
9 S 0.7081 0.4162 0.1666  2 Sn 2.58
10 Ga 0.5524 0.1049 0.9332  4 S 2.23-2.35
11 Tl 0.8718 0.7436 0.8212  6 S 2.86-3.10
12 Sn 0.2048 0.4096 0.0282  5 S 2.51-2.63
13 Ga 0.4476 0.8951 0.4332  4 S 2.23-2.35
14 S 0.2919 0.5838 0.6666  2 Sn 2.58
15 Tl 0.1282 0.2564 0.3212  6 S 2.86-3.10
16 S 0.3390 0.6780 0.9875  1 Sn 2.51
17 S 0.3228 0.6456 0.3895  1 Ga 2.35, 2 Sn 2.63
18 S 0.5127 0.0254 0.2866  1 Ga 2.23

---

# 6
HoEr4Tm4 | PBE-GGA | relaxed

## Properties
Energy of formation = 25 meV per atom

Lattice parameters (Å, degrees): 4.9309 7.8134 7.8134 84.29 71.61 71.61
With the nearest neighbours (Å) after each atom.
Atoms (fractional coordinates):
1 Er 0.3331 0.0000 0.3337  4 Er 3.49-3.50, 6 Tm 3.49, 2 Ho 3.49
2 Tm 0.3337 0.6663 0.6662  5 Tm 3.49, 6 Er 3.49, 1 Ho 3.50
3 Er 0.3332 0.3337 0.0000  4 Er 3.49-3.50, 6 Tm 3.49, 2 Ho 3.49
4 Tm 0.0000 0.3338 0.6663  5 Tm 3.49, 6 Er 3.49, 1 Ho 3.50
5 Tm 0.0000 0.6662 0.3337  5 Tm 3.49, 6 Er 3.49, 1 Ho 3.50
6 Tm 0.6663 0.3337 0.3338  5 Tm 3.49, 6 Er 3.49, 1 Ho 3.50
7 Er 0.6669 0.0000 0.6663  4 Er 3.49-3.50, 6 Tm 3.49, 2 Ho 3.49
8 Er 0.6668 0.6663 0.0000  4 Er 3.49-3.50, 6 Tm 3.49, 2 Ho 3.49
9 Ho 0.0000 0.0000 0.0000  8 Er 3.49, 4 Tm 3.50

---

# 7
ZrTcSb2 | PBE-GGA | relaxed

## Properties
ΔE_f (raw) = -0.075 eV/atom

Lattice parameters (Å, degrees): 4.8472 4.8472 4.8472 60.00 60.00 60.00
With the nearest neighbours (Å) after each atom.
Atoms (fractional coordinates):
1 Tc 0.5000 0.5000 0.5000  8 Sb 2.97
2 Sb 0.2500 0.2500 0.2500  4 Zr 2.97, 4 Tc 2.97
3 Sb 0.7500 0.7500 0.7500  4 Zr 2.97, 4 Tc 2.97
4 Zr 0.0000 0.0000 0.0000  8 Sb 2.97

---

# 8
Ta2RhWI | PBE-GGA | relaxed

## Properties
ΔE_f (raw) = 2.001 eV/atom

Lattice parameters (Å, degrees): 4.8903 5.1343 4.8903 90.00 90.00 90.00
With the nearest neighbours (Å) after each atom.
Atoms (fractional coordinates):
1 W 0.0000 0.0000 0.0000  4 Ta 2.45, 2 I 2.57
2 Rh 0.5000 0.5000 0.5000  4 I 3.46, 8 Ta 3.55
3 I 0.0000 0.5000 0.0000  2 W 2.57
4 Ta 0.5000 0.0000 0.0000  2 W 2.45
5 Ta 0.0000 0.0000 0.5000  2 W 2.45

---

# 9
LiYIr2 | PBE-GGA | relaxed

## Properties
Energy of formation = -176 meV per atom

Lattice parameters (Å, degrees): 4.7776 4.7776 3.1488 90.00 90.00 106.54
With the nearest neighbours (Å) after each atom.
Atoms (fractional coordinates):
1 Y 0.0000 0.5000 0.5000  2 Li 2.86, 8 Ir 2.86, 2 Y 3.15
2 Li 0.5000 0.0000 0.5000  2 Y 2.86, 8 Ir 2.86, 2 Li 3.15
3 Ir 0.5000 0.5000 0.0000  4 Ir 2.86-3.15, 4 Y 2.86, 4 Li 2.86
4 Ir 0.0000 0.0000 0.0000  4 Ir 2.86-3.15, 4 Li 2.86, 4 Y 2.86

---

# 10
MoPt2Pb | PBE-GGA | relaxed

## Properties
Energy of formation = 104 meV per atom

Lattice parameters (Å, degrees): 4.7727 4.7727 5.3306 80.69 80.69 37.89
With the nearest neighbours (Å) after each atom.
Atoms (fractional coordinates):
1 Pb 0.2501 0.2501 0.2409  7 Pt 2.83-3.14, 3 Mo 2.98-3.06, 2 Pb 3.10
2 Pt 0.0056 0.0056 0.9724  2 Mo 2.72, 3 Pt 2.81-2.85, 3 Pb 2.83-2.94
3 Pt 0.7532 0.7532 0.7276  3 Mo 2.67-2.68, 3 Pt 2.81-2.85
4 Mo 0.4911 0.4911 0.5590  5 Pt 2.67-2.72, 1 Pb 2.98

---

# 11
BeHgS2 | PBE-GGA | relaxed

## Properties
ΔE_f (raw) = -0.523 eV/atom

Lattice parameters (Å, degrees): 6.5356 3.7327 6.8193 90.01 82.32 106.58
With the nearest neighbours (Å) after each atom.
Atoms (fractional coordinates):
1 Be 0.9273 0.9166 0.5307  4 S 2.13-2.18
2 Hg 0.4288 0.1648 0.7669  4 S 2.54-2.59
3 S 0.3160 0.6091 0.0201  1 Be 2.09
4 S 0.7444 0.8238 0.2905  2 Be 2.12-2.13
5 S 0.2704 0.0873 0.4432  3 Be 2.15-2.21
6 Hg 0.9035 0.4027 0.0528  4 S 2.56-2.58
7 Be 0.4044 0.6539 0.3040  4 S 2.09-2.21
8 S 0.8457 0.3754 0.6874  2 Be 2.17-2.18

---

# 12
La2Ag5Au | PBE-GGA | relaxed

## Properties
Energy of formation = -290 meV per atom

Lattice parameters (Å, degrees): 4.3421 8.9862 10.0457 90.00 90.00 103.98
With the nearest neighbours (Å) after each atom.
Atoms (fractional coordinates):
1 Ag 0.1975 0.3949 0.8901  6 Ag 2.74-2.98
2 Au 0.4533 0.9066 0.7500  3 Ag 2.77-2.79
3 Ag 0.8025 0.6051 0.1099  6 Ag 2.74-2.98
4 Ag 0.6122 0.2245 0.7500  1 Au 2.77, 6 Ag 2.82-2.98
5 La 0.1870 0.3741 0.2500  9 Ag 3.22-3.50, 2 Au 3.27
6 La 0.0000 0.0000 0.0000  6 Ag 3.30-3.62, 4 Au 3.42
7 Ag 0.6417 0.2833 0.0261  4 Ag 2.74-2.93, 1 Au 2.79
8 Ag 0.6417 0.2833 0.4739  4 Ag 2.74-2.93, 1 Au 2.79
9 Au 0.5467 0.0934 0.2500  3 Ag 2.77-2.79
10 Ag 0.1975 0.3949 0.6099  6 Ag 2.74-2.98
11 Ag 0.3583 0.7167 0.5261  4 Ag 2.74-2.93, 1 Au 2.79
12 La 0.0000 0.0000 0.5000  6 Ag 3.30-3.62, 4 Au 3.42
13 Ag 0.3878 0.7755 0.2500  1 Au 2.77, 6 Ag 2.82-2.98
14 Ag 0.8025 0.6051 0.3901  6 Ag 2.74-2.98
15 Ag 0.3583 0.7167 0.9739  4 Ag 2.74-2.93, 1 Au 2.79
16 La 0.8130 0.6259 0.7500  9 Ag 3.22-3.50, 2 Au 3.27

---

# 13
MoPd2Au2 | PBE-GGA | relaxed

## Properties
Energy of formation = 408 meV per atom

Lattice parameters (Å, degrees): 7.5908 7.5908 2.9788 90.00 90.00 90.00
With the nearest neighbours (Å) after each atom.
Atoms (fractional coordinates):
1 Pd 0.8315 0.3315 0.5000  6 Au 2.61-2.73
2 Au 0.3686 0.8686 0.0000  6 Pd 2.61-2.73, 1 Au 2.82
3 Mo 0.0000 0.0000 0.0000  4 Au 2.97, 2 Mo 2.98, 8 Pd 3.19
4 Pd 0.3315 0.1685 0.5000  6 Au 2.61-2.73
5 Au 0.6314 0.1314 0.0000  6 Pd 2.61-2.73, 1 Au 2.82
6 Au 0.1314 0.3686 0.0000  6 Pd 2.61-2.73, 1 Au 2.82
7 Au 0.8686 0.6314 0.0000  6 Pd 2.61-2.73, 1 Au 2.82
8 Pd 0.6685 0.8315 0.5000  6 Au 2.61-2.73
9 Pd 0.1685 0.6685 0.5000  6 Au 2.61-2.73
10 Mo 0.5000 0.5000 0.0000  4 Au 2.97, 2 Mo 2.98, 8 Pd 3.19

---

# 14
Cd3Pd | PBE-GGA | relaxed

## Properties
Energy of formation = -219 meV per atom

Lattice parameters (Å, degrees): 4.2467 4.2440 4.2497 90.00 90.00 90.00
With the nearest neighbours (Å) after each atom.
Atoms (fractional coordinates):
1 Cd 0.0000 0.0000 0.0833  8 Cd 3.00, 4 Pd 3.00
2 Cd 0.5000 0.5000 0.0833  8 Cd 3.00, 4 Pd 3.00
3 Cd 0.0000 0.5000 0.5833  4 Pd 3.00, 8 Cd 3.00
4 Pd 0.5000 0.0000 0.5835  12 Cd 3.00

---

# 15
DyThTeSe2 | PBE-GGA | relaxed

## Properties
ΔE_f (raw) = -1.292 eV/atom

Lattice parameters (Å, degrees): 4.6942 4.6942 7.6592 107.84 107.84 90.00
With the nearest neighbours (Å) after each atom.
Atoms (fractional coordinates):
1 Dy 0.8614 0.8614 0.7228  4 Se 2.80
2 Te 0.5093 0.5093 0.0187  4 Th 3.69, 4 Dy 3.90, 4 Se 4.08
3 Se 0.7512 0.2512 0.5024  2 Dy 2.80, 2 Th 2.91
4 Th 0.1268 0.1268 0.2536  4 Se 2.91
5 Se 0.2512 0.7512 0.5024  2 Dy 2.80, 2 Th 2.91

---

# 16
BaSrZnIn | PBE-GGA | relaxed

## Properties
Energy of formation = -285 meV per atom

Lattice parameters (Å, degrees): 5.8139 5.8139 5.8139 60.00 60.00 60.00
With the nearest neighbours (Å) after each atom.
Atoms (fractional coordinates):
1 In 0.5000 0.5000 0.5000  4 Ba 3.56, 4 Sr 3.56
2 Zn 0.0000 0.0000 0.0000  4 Ba 3.56, 4 Sr 3.56
3 Ba 0.7500 0.7500 0.7500  4 In 3.56, 4 Zn 3.56
4 Sr 0.2500 0.2500 0.2500  4 In 3.56, 4 Zn 3.56

---

# 17
K2LiAuO4 | PBE-GGA | relaxed

## Properties
ΔE_f (raw) = -0.705 eV/atom

Lattice parameters (Å, degrees): 6.0635 5.5269 5.5269 72.49 56.73 56.73
With the nearest neighbours (Å) after each atom.
Atoms (fractional coordinates):
1 O 0.6080 0.0000 0.2786  1 Au 1.98, 1 Li 2.00
2 O 0.8867 0.0000 0.7214  1 Au 1.98, 1 Li 2.00
3 Au 0.5000 0.0000 0.0000  4 O 1.98
4 K 0.0000 0.5000 0.5000  8 O 2.94-2.95, 2 K 3.03, 2 Li 3.27, 2 Au 3.27
5 O 0.1133 0.2786 0.0000  1 Au 1.98, 1 Li 2.00
6 Li 0.0000 0.0000 0.0000  4 O 2.00
7 K 0.5000 0.5000 0.5000  8 O 2.94-2.95, 2 K 3.03, 2 Li 3.27, 2 Au 3.27
8 O 0.3920 0.7214 0.0000  1 Au 1.98, 1 Li 2.00

---

# 18
BeCdSi2 | PBE-GGA | relaxed

## Properties
ΔE_f (raw) = 0.412 eV/atom

Lattice parameters (Å, degrees): 3.3450 2.8001 6.8841 78.14 90.00 90.00
With the nearest neighbours (Å) after each atom.
Atoms (fractional coordinates):
1 Cd 0.5000 0.9551 0.7143  2 Cd 2.80, 4 Be 2.86-2.87, 3 Si 2.95-2.97
2 Be 0.0000 0.5920 0.4381  5 Si 2.44-2.45
3 Si 0.5000 0.1773 0.2735  4 Be 2.44-2.45, 4 Si 2.56-2.57
4 Si 0.0000 0.7756 0.0741  1 Be 2.45, 4 Si 2.56-2.57

---

# 19
NdDy2Er | PBE-GGA | relaxed

## Properties
Energy of formation = 142 meV per atom

Lattice parameters (Å, degrees): 5.6864 5.6864 5.6864 60.00 60.00 60.00
With the nearest neighbours (Å) after each atom.
Atoms (fractional coordinates):
1 Dy 0.7500 0.7500 0.7500  4 Er 3.48, 4 Nd 3.48
2 Er 0.0000 0.0000 0.0000  8 Dy 3.48
3 Dy 0.2500 0.2500 0.2500  4 Er 3.48, 4 Nd 3.48
4 Nd 0.5000 0.5000 0.5000  8 Dy 3.48

---

# 20
BeGeCl3 | PBE-GGA | relaxed

## Properties
ΔE_f (raw) = -0.386 eV/atom

Lattice parameters (Å, degrees): 4.5379 4.5379 4.5379 90.00 90.00 90.00
With the nearest neighbours (Å) after each atom.
Atoms (fractional coordinates):
1 Ge 0.5000 0.5000 0.5000  12 Cl 3.21
2 Be 0.0000 0.0000 0.0000  6 Cl 2.27
3 Cl 0.5000 0.0000 0.0000  2 Be 2.27
4 Cl 0.0000 0.0000 0.5000  2 Be 2.27
5 Cl 0.0000 0.5000 0.0000  2 Be 2.27